# 1
First-principles (PBE-GGA) data for ZnSb2Cl after structural relaxation, as listed in the Alexandria database.

a b c (Å): 5.0441 5.0441 5.0441
angles (deg): 60.00 60.00 60.00
Closest atoms and distances in Å follow each position.
Fractional coordinates of all 4 atoms:
Sb 0.2500 0.2500 0.2500  4 Cl 3.09, 4 Zn 3.09
Sb 0.7500 0.7500 0.7500  4 Cl 3.09, 4 Zn 3.09
Zn 0.5000 0.5000 0.5000  8 Sb 3.09
Cl 0.0000 0.0000 0.0000  8 Sb 3.09

Properties
The energy relative to the lowest polymorph listed for this composition is 337 meV per atom. As for the symmetry: Fm-3m (225). For the uncorrected formation energy, the calculation gives 0.11 eV per atom. For the total magnetization, the calculation gives 0.0 μB/f.u.



# 2
First-principles (PBE-GGA) data for ZnSbCl after structural relaxation, as listed in the Alexandria database.

a b c (Å): 4.9020 4.9020 4.9020
angles (deg): 60.00 60.00 60.00
Closest atoms and distances in Å follow each position.
Fractional coordinates of all 3 atoms:
Cl 0.7500 0.7500 0.7500  4 Sb 3.00, 4 Zn 3.00
Sb 0.0000 0.0000 0.0000  4 Cl 3.00
Zn 0.5000 0.5000 0.5000  4 Cl 3.00

Properties
The energy relative to the lowest polymorph listed for this composition is 964 meV per atom. As for the symmetry: F-43m (216). For the uncorrected formation energy, the calculation gives 0.60 eV per atom. For the total magnetization, the calculation gives 0.8 μB/f.u.



# 3
First-principles (PBE-GGA) data for ZnSb2Cl after structural relaxation, as listed in the Alexandria database.

a b c (Å): 3.4645 3.4645 7.8429
angles (deg): 90.00 90.00 90.00
Closest atoms and distances in Å follow each position.
Fractional coordinates of all 4 atoms:
Cl 0.5000 0.5000 0.7500  8 Sb 3.35, 4 Cl 3.46
Sb 0.0000 0.0000 0.0406  4 Zn 2.95, 1 Sb 3.28
Sb 0.0000 0.0000 0.4594  4 Zn 2.95, 1 Sb 3.28
Zn 0.5000 0.5000 0.2500  8 Sb 2.95

Properties
The energy relative to the lowest polymorph listed for this composition is 205 meV per atom. As for the symmetry: P4/mmm (123). For the uncorrected formation energy, the calculation gives -0.03 eV per atom. For the total magnetization, the calculation gives 0.0 μB/f.u.



# 4
First-principles (PBE-GGA) data for ZnSb2Cl after structural relaxation, as listed in the Alexandria database.

a b c (Å): 5.3230 5.3230 3.2825
angles (deg): 90.00 90.00 90.00
Closest atoms and distances in Å follow each position.
Fractional coordinates of all 4 atoms:
Cl 0.0000 0.5000 0.5000  8 Sb 3.13, 2 Cl 3.28
Sb 0.0000 0.0000 0.0000  4 Cl 3.13, 4 Zn 3.13, 2 Sb 3.28
Sb 0.5000 0.5000 0.0000  4 Cl 3.13, 4 Zn 3.13, 2 Sb 3.28
Zn 0.5000 0.0000 0.5000  8 Sb 3.13, 2 Zn 3.28

Properties
The energy relative to the lowest polymorph listed for this composition is 382 meV per atom. As for the symmetry: P4/mmm (123). For the uncorrected formation energy, the calculation gives 0.15 eV per atom. For the total magnetization, the calculation gives 0.0 μB/f.u.